{"formula": "LiY2MnS5", "functional": "PBE", "state": "relaxed", "lattice_angstrom": [[-1.1166, 3.2956, 1.4999], [4.0242, -4.0649, 7.1413], [9.1193, 4.3117, -2.6845]], "species": ["S", "Y", "S", "S", "Y", "S", "S", "Y", "Y", "S", "Li", "S", "S", "Mn", "S", "S", "Li", "Mn"], "frac_coords": [[0.3092, 0.6183, 0.3367], [0.8964, 0.7928, 0.8024], [0.0288, 0.0576, 0.0644], [0.6418, 0.2835, 0.4953], [0.1140, 0.2281, 0.6861], [0.6785, 0.3570, 0.1554], [0.5175, 0.0349, 0.8007], [0.8860, 0.7719, 0.1861], [0.1036, 0.2072, 0.3024], [0.3582, 0.7165, 0.9953], [0.7752, 0.5504, 0.4973], [0.6908, 0.3817, 0.8367], [0.9712, 0.9424, 0.5644], [0.5916, 0.1832, 0.9858], [0.4825, 0.9651, 0.3007], [0.3215, 0.6430, 0.6554], [0.2248, 0.4496, 0.9973], [0.4084, 0.8168, 0.4858]], "e_tot_ev_per_cell": -116.7, "e_form_raw_ev_per_atom": -1.52, "total_magnetization_mub_per_fu": 4.02}

{"formula": "ScGaSN2", "functional": "PBE", "state": "relaxed", "lattice_angstrom": [[-3.6349, 0.1267, 1.0231], [-0.5258, -3.4530, -1.4406], [1.1943, -2.0586, 4.4981]], "species": ["Ga", "N", "N", "S", "Sc"], "frac_coords": [[0.0000, 0.0000, 0.0000], [0.5000, 0.0000, 0.0000], [0.0000, 0.5000, 0.0000], [0.0000, 0.0000, 0.5000], [0.5000, 0.5000, 0.5000]], "e_tot_ev_per_cell": -28.7, "e_form_raw_ev_per_atom": 0.28, "de_polymorph_mev_per_atom": 0, "total_magnetization_mub_per_fu": 0.13}

{"formula": "LaAsRu2", "functional": "PBE", "state": "relaxed", "lattice_angstrom": [[-1.2439, -3.1316, 2.5493], [1.5673, -2.6207, -2.4545], [4.6321, -0.2826, 1.9130]], "species": ["Ru", "Ru", "As", "La"], "frac_coords": [[0.5000, 0.3379, 0.1900], [0.0000, 0.9413, 0.1513], [0.0000, 0.3911, 0.4412], [0.5000, 0.8297, 0.7175]], "e_tot_ev_per_cell": -29.2, "delta_e_f_ev_per_atom": -0.27, "total_magnetization_mub_per_fu": 0.00}

Question: Number 2 is which compound?
Answer: ScGaSN2